[1]
The following is a meta-GGA SCAN calculation of a crystal of Mg3Ag relaxed with PBEsol, from Alexandria via LeMat-Bulk.

Cell lengths 3.172, 4.837, 5.135 Å; angles 90.00, 90.00, 90.00 degrees
Atoms (fractional coordinates):
Mg (0.000, 0.500, 0.336)
Mg (0.500, 0.500, 0.850)
Mg (0.500, 0.000, 0.488)
Ag (0.000, 0.000, 0.993)

As for the formation energy: -0.11 eV/atom. The value obtained for the density of states at the Fermi level is 1.31 states/eV/cell. The calculation puts the electronic total energy at -11.687 eV per atom.

***

[2]
The following is a meta-GGA SCAN calculation of a crystal of Mg4Ag relaxed with PBEsol, from Alexandria via LeMat-Bulk.

Cell lengths 3.461, 3.461, 8.804 Å; angles 101.34, 101.34, 90.00 degrees
Atoms (fractional coordinates):
Ag (0.000, 0.000, 0.000)
Mg (0.588, 0.588, 0.177)
Mg (0.197, 0.197, 0.394)
Mg (0.412, 0.412, 0.823)
Mg (0.803, 0.803, 0.606)

As for the formation energy: -0.11 eV/atom. The value obtained for the density of states at the Fermi level is 1.63 states/eV/cell. For the energy relative to the lowest polymorph listed for this composition, the calculation gives 0.6 kJ/mol of atoms. The calculation puts the electronic total energy at -10.364 eV per atom.